Entry 1:
Computed, not measured: a geometry-optimized K2CaOs structure at the PBE-GGA level of DFT.

Structure (POSCAR):
```
K2CaOs
1.0
-2.726 2.726 3.848
2.726 -2.726 3.848
2.726 2.726 -3.848
K Ca Os
2 1 1
Cartesian
0.000 0.000 0.000 K
0.000 2.726 1.924 K
2.726 0.000 1.924 Ca
0.000 0.000 3.848 Os
```

Calculated values
**Formation energy**: 1.1097 eV per atom
**DOS at the Fermi energy**: 6.83 states/eV/f.u.
**Distance to the lowest polymorph of the same formula**: 346 meV per atom
**Raw total energy**: -10.99 eV per formula unit


Entry 2:
Computed, not measured: a geometry-optimized MnNiH structure at the PBE-GGA level of DFT.

Structure (POSCAR):
```
MnNiH
1.0
4.430 -1.359 0.000
4.430 1.359 0.000
-1.023 0.000 4.339
Mn Ni H
2 2 2
Cartesian
0.688 0.000 1.529 Mn
7.150 0.000 2.810 Mn
3.208 0.000 0.609 Ni
4.630 0.000 3.730 Ni
1.475 0.000 3.270 H
6.363 0.000 1.070 H
```

Calculated values
**DOS at the Fermi energy**: 2.02 states/eV/f.u.
**Raw total energy**: -18.31 eV per formula unit


Entry 3:
Computed, not measured: a geometry-optimized CaPm4PrNd2 structure at the PBE-GGA level of DFT.

Structure (POSCAR):
```
CaPm4PrNd2
1.0
7.026 -6.789 0.000
7.026 6.789 0.000
-3.464 0.000 6.063
Ca Pm Pr Nd
2 8 2 4
Cartesian
0.000 0.000 0.000 Ca
-1.732 0.000 3.032 Ca
3.404 3.384 5.977 Pm
3.630 0.006 0.084 Pm
1.897 -0.006 3.116 Pm
5.451 3.384 3.118 Pm
5.136 -3.384 2.945 Pm
8.690 0.006 2.948 Pm
6.958 -0.006 5.979 Pm
7.183 -3.384 0.087 Pm
1.781 3.395 3.032 Pr
3.513 -3.395 0.000 Pr
3.513 3.395 0.000 Nd
1.781 -3.395 3.032 Nd
7.026 0.000 0.000 Nd
5.294 0.000 3.032 Nd
```

Calculated values
**Formation energy**: 0.3671 eV per atom
**DOS at the Fermi energy**: 16.10 states/eV/f.u.
**Raw total energy**: -32.38 eV per formula unit


Entry 4:
Computed, not measured: a geometry-optimized Na2NpAgCl8 structure at the PBE-GGA level of DFT.

Structure (POSCAR):
```
Na2NpAgCl8
1.0
6.296 0.000 0.000
0.715 6.439 0.000
0.002 0.004 8.838
Na Np Ag Cl
2 1 1 8
Cartesian
0.006 0.003 2.002 Na
7.008 6.439 6.836 Na
3.507 3.221 4.419 Np
3.506 3.219 0.000 Ag
1.982 5.276 4.419 Cl
2.003 5.119 8.837 Cl
2.091 2.166 2.607 Cl
2.092 2.166 6.230 Cl
4.922 4.276 2.608 Cl
4.922 4.276 6.231 Cl
5.010 1.323 0.001 Cl
5.031 1.166 4.418 Cl
```

Calculated values
**DOS at the Fermi energy**: 8.81 states/eV/f.u.
**Uncorrected formation energy**: -1381 meV per atom
**Raw total energy**: -49.77 eV per formula unit


Entry 5:
Computed, not measured: a geometry-optimized SmErPd structure at the PBE-GGA level of DFT.

Structure (POSCAR):
```
SmErPd
1.0
6.361 -1.786 0.000
6.361 1.786 0.000
-2.068 0.000 6.877
Sm Er Pd
2 2 2
Cartesian
1.622 0.000 0.473 Sm
9.033 0.000 6.405 Sm
0.575 0.000 3.909 Er
10.080 0.000 2.969 Er
5.761 0.000 1.861 Pd
4.893 0.000 5.017 Pd
```

Calculated values
**Formation energy**: -0.5314 eV per atom
**DOS at the Fermi energy**: 3.10 states/eV/f.u.
**Distance to the lowest polymorph of the same formula**: 3 meV per atom
**Raw total energy**: -16.07 eV per formula unit


Entry 6:
Computed, not measured: a geometry-optimized ScNiTe structure at the PBE-GGA level of DFT.

Structure (POSCAR):
```
ScNiTe
1.0
-1.878 1.878 4.135
1.878 -1.878 4.135
1.878 1.878 -4.135
Sc Ni Te
1 1 1
Cartesian
0.000 0.000 0.000 Sc
0.000 0.000 5.426 Ni
0.000 0.000 2.832 Te
```

Calculated values
**DOS at the Fermi energy**: 2.39 states/eV/f.u.
**Uncorrected formation energy**: -414 meV per atom
**Raw total energy**: -16.50 eV per formula unit


Entry 7:
Computed, not measured: a geometry-optimized RhCl5 structure at the PBE-GGA level of DFT.

Structure (POSCAR):
```
RhCl5
1.0
6.764 -1.781 0.000
6.764 1.781 0.000
-4.866 0.000 6.586
Rh Cl
1 5
Cartesian
0.000 0.000 0.000 Rh
-2.813 0.000 5.525 Cl
1.144 0.000 5.198 Cl
4.330 0.000 3.293 Cl
7.516 0.000 1.387 Cl
11.474 0.000 1.061 Cl
```

Calculated values
**DOS at the Fermi energy**: 3.17 states/eV/f.u.
**Distance to the lowest polymorph of the same formula**: 0 meV per atom
**Uncorrected formation energy**: -205 meV per atom
**Raw total energy**: -17.81 eV per formula unit


Entry 8:
Computed, not measured: a geometry-optimized La5Pt structure at the PBE-GGA level of DFT.

Structure (POSCAR):
```
La5Pt
1.0
0.000 4.542 4.542
4.542 0.000 4.542
4.542 4.542 0.000
La Pt
5 1
Cartesian
0.000 0.000 0.000 La
5.654 3.429 3.429 La
3.429 5.654 3.429 La
3.429 3.429 5.654 La
5.654 5.654 5.654 La
2.271 2.271 2.271 Pt
```

Calculated values
**Formation energy**: 0.2755 eV per atom
**DOS at the Fermi energy**: 10.19 states/eV/f.u.
**Distance to the lowest polymorph of the same formula**: 630 meV per atom
**Raw total energy**: -29.03 eV per formula unit